# 1
La3PbBr3 | PBE-GGA | optimized geometry

* total energy: -4.71 eV per atom

Cell lengths 10.9381, 10.9381, 10.9381 Å; angles 109.47, 109.47, 109.47 degrees
Closest atoms and distances in Å follow each position.
Atoms (fractional coordinates):
La: 0.0013 0.0026 0.2513  2 Pb 3.14, 4 Br 3.17-3.18
La: 0.0013 0.4987 0.7500  2 Pb 3.14, 4 Br 3.17-3.18
La: 0.0026 0.2513 0.0013  2 Pb 3.14, 4 Br 3.17-3.18
La: 0.2487 0.2513 0.7500  2 Pb 3.14, 4 Br 3.17-3.18
La: 0.2487 0.4974 0.4987  2 Pb 3.14, 4 Br 3.17-3.18
La: 0.2513 0.0013 0.0026  2 Pb 3.14, 4 Br 3.17-3.18
La: 0.2513 0.7500 0.2487  2 Pb 3.14, 4 Br 3.17-3.18
La: 0.4974 0.4987 0.2487  2 Pb 3.14, 4 Br 3.17-3.18
La: 0.4987 0.2487 0.4974  2 Pb 3.14, 4 Br 3.17-3.18
La: 0.4987 0.7500 0.0013  2 Pb 3.14, 4 Br 3.17-3.18
La: 0.7500 0.0013 0.4987  2 Pb 3.14, 4 Br 3.17-3.18
La: 0.7500 0.2487 0.2513  2 Pb 3.14, 4 Br 3.17-3.18
Pb: 0.0000 0.2500 0.5000  6 La 3.14
Pb: 0.2500 0.2500 0.2500  6 La 3.14
Pb: 0.2500 0.5000 0.0000  6 La 3.14
Pb: 0.5000 0.0000 0.2500  6 La 3.14
Br: 0.2500 0.7517 0.7483  4 La 3.17-3.18
Br: 0.2500 0.9983 0.5017  4 La 3.17-3.18
Br: 0.5017 0.2500 0.9983  4 La 3.17-3.18
Br: 0.5017 0.7517 0.5034  4 La 3.17-3.18
Br: 0.5034 0.5017 0.7517  4 La 3.17-3.18
Br: 0.7483 0.2500 0.7517  4 La 3.17-3.18
Br: 0.7483 0.9983 0.9966  4 La 3.17-3.18
Br: 0.7517 0.5034 0.5017  4 La 3.17-3.18
Br: 0.7517 0.7483 0.2500  4 La 3.17-3.18
Br: 0.9966 0.7483 0.9983  4 La 3.17-3.18
Br: 0.9983 0.5017 0.2500  4 La 3.17-3.18
Br: 0.9983 0.9966 0.7483  4 La 3.17-3.18

# 2
La2PbBr | PBE-GGA | optimized geometry

* total energy: -4.35 eV per atom
* E above lowest polymorph: 484.9 meV/atom

Cell lengths 9.6978, 9.6978, 9.6978 Å; angles 142.60, 142.60, 53.92 degrees
Closest atoms and distances in Å follow each position.
Atoms (fractional coordinates):
La: 0.1079 0.6250 0.9829  2 Br 3.03, 2 Pb 3.14
La: 0.3750 0.3579 0.4829  2 Br 3.03, 2 Pb 3.14
La: 0.6421 0.1250 0.0171  2 Br 3.03, 2 Pb 3.14
La: 0.8750 0.8921 0.5171  2 Br 3.03, 2 Pb 3.14
Pb: 0.2500 0.7500 0.5000  4 La 3.14
Pb: 0.5000 0.5000 0.0000  4 La 3.14
Br: 0.0000 0.0000 0.0000  4 La 3.03
Br: 0.7500 0.2500 0.5000  4 La 3.03

# 3
La2PbBr | PBE-GGA | optimized geometry

* total energy: -4.51 eV per atom
* E above lowest polymorph: 321.2 meV/atom

Cell lengths 6.9074, 6.9074, 6.9074 Å; angles 141.07, 141.07, 56.24 degrees
Closest atoms and distances in Å follow each position.
Atoms (fractional coordinates):
La: 0.0000 0.0000 0.0000  4 Br 3.26
La: 0.7500 0.2500 0.5000  4 Pb 3.26
Pb: 0.2500 0.7500 0.5000  4 La 3.26
Br: 0.5000 0.5000 0.0000  4 La 3.26

# 4
La4PbBr4 | PBE-GGA | optimized geometry

* total energy: -4.54 eV per atom

Cell lengths 7.5348, 7.5348, 7.5348 Å; angles 99.58, 99.58, 131.85 degrees
Closest atoms and distances in Å follow each position.
Atoms (fractional coordinates):
La: 0.0865 0.6850 0.7715  5 Br 3.11-3.14, 1 Pb 3.18
La: 0.3150 0.0865 0.4016  5 Br 3.11-3.14, 1 Pb 3.18
La: 0.6850 0.9135 0.5984  5 Br 3.11-3.14, 1 Pb 3.18
La: 0.9135 0.3150 0.2285  5 Br 3.11-3.14, 1 Pb 3.18
Pb: 0.0000 0.0000 0.0000  4 La 3.18
Br: 0.2255 0.3936 0.6190  5 La 3.11-3.14
Br: 0.3936 0.7745 0.1681  5 La 3.11-3.14
Br: 0.6064 0.2255 0.8319  5 La 3.11-3.14
Br: 0.7745 0.6064 0.3810  5 La 3.11-3.14

The lowest total energy belongs to which entry? La3PbBr3